w | Computed, not measured: a relaxed structure of Pa2AsW at the PBE-GGA level of DFT.

The structure belongs to space group P4/mmm (No. 123); the cell edges are 3.698, 3.698 and 6.220 Å and the angles 90.00°, 90.00° and 90.00°. Symmetry generates all atoms from Pa at (0.000, 0.000, 0.239), As at (0.500, 0.500, 0.000) and W at (0.500, 0.500, 0.500).

The calculated volume is 85.0 Å³ per cell. The calculation puts the density at 14.1 Mg/m³. For the density of states at the Fermi level, the calculation gives 4.42 states/eV/cell.


x | Computed, not measured: a relaxed structure of Pa2AsW at the PBE-GGA level of DFT.

The structure belongs to space group R-3m (No. 166, hexagonal axes); the cell edges are 3.4128, 3.4128 and 27.7900 Å and the angles 90.00°, 90.00° and 120.00°. Symmetry generates all atoms from Pa at (0.0000, 0.0000, 0.0916), As at (0.0000, 0.0000, 0.5000) and W at (0.0000, 0.0000, 0.0000).

The calculated volume is 280.3 Å³ per cell. The calculation puts the density at 12.8 Mg/m³. For the density of states at the Fermi level, the calculation gives 14.93 states/eV/cell.


Quick one: most stable of them? w


w | Computed, not measured: a relaxed structure of YPaAs2 at the PBE-GGA level of DFT.

The structure belongs to space group R-3m (No. 166, hexagonal axes); the cell edges are 4.1979, 4.1979 and 25.4899 Å and the angles 90.00°, 90.00° and 120.00°. Symmetry generates all atoms from Y at (0.0000, 0.0000, 0.0000), Pa at (0.0000, 0.0000, 0.5000) and As at (0.0000, 0.0000, 0.1088).

The calculated volume is 389.0 Å³ per cell. The calculation puts the density at 6.0 Mg/m³. For the density of states at the Fermi level, the calculation gives 11.88 states/eV/cell.


x | Computed, not measured: a relaxed structure of YPaAs2 at the PBE-GGA level of DFT.

The structure belongs to space group R3m (No. 160, hexagonal axes); the cell edges are 4.0541, 4.0541 and 21.0323 Å and the angles 90.00°, 90.00° and 120.00°. Symmetry generates all atoms from Y at (0.0000, 0.0000, 0.0000), Pa at (0.0000, 0.0000, 0.8235), As at (0.0000, 0.0000, 0.2417) and As at (0.0000, 0.0000, 0.4127).

The calculated volume is 299.4 Å³ per cell. The calculation puts the density at 7.8 Mg/m³. For the density of states at the Fermi level, the calculation gives 8.61 states/eV/cell.


Quick one: most stable of them? x


w | Computed, not measured: a relaxed structure of As3Pb5 at the PBE-GGA level of DFT.

The structure belongs to space group P6_3/mcm (No. 193); the cell edges are 9.0891, 9.0891 and 6.5609 Å and the angles 90.00°, 90.00° and 120.00°. Symmetry generates all atoms from As at (0.0000, 0.3747, 0.2500), Pb at (0.0000, 0.2918, 0.7500) and Pb at (0.3333, 0.6667, 0.0000).

The calculated volume is 469.4 Å³ per cell. The calculation puts the density at 8.9 Mg/m³. For the density of states at the Fermi level, the calculation gives 5.50 states/eV/cell.


x | Computed, not measured: a relaxed structure of As3Pb5 at the PBE-GGA level of DFT.

The structure belongs to space group P-1 (No. 2); the cell edges are 7.396, 7.840 and 8.934 Å and the angles 86.74°, 77.61° and 70.56°. Symmetry generates all atoms from As at (0.017, 0.276, 0.451), As at (0.210, 0.546, 0.040), As at (0.360, 0.960, 0.753), Pb at (0.009, 0.855, 0.848), Pb at (0.162, 0.370, 0.739), Pb at (0.295, 0.908, 0.445), Pb at (0.345, 0.421, 0.339) and Pb at (0.429, 0.789, 0.051).

The calculated volume is 477.1 Å³ per cell. The calculation puts the density at 8.8 Mg/m³. For the density of states at the Fermi level, the calculation gives 5.46 states/eV/cell.


Quick one: most stable of them? x


w | Computed, not measured: a relaxed structure of As5Pb4 at the PBE-GGA level of DFT.

The structure belongs to space group I4/mmm (No. 139); the cell edges are 12.660, 12.660 and 3.640 Å and the angles 90.00°, 90.00° and 90.00°. Symmetry generates all atoms from As at (0.000, 0.000, 0.000), As at (0.199, 0.199, 0.500) and Pb at (0.000, 0.228, 0.000).

The calculated volume is 583.5 Å³ per cell. The calculation puts the density at 6.8 Mg/m³. For the density of states at the Fermi level, the calculation gives 7.00 states/eV/cell.


x | Computed, not measured: a relaxed structure of As5Pb4 at the PBE-GGA level of DFT.

The structure belongs to space group P6_3/mcm (No. 193); the cell edges are 9.1040, 9.1040 and 6.2952 Å and the angles 90.00°, 90.00° and 120.00°. Symmetry generates all atoms from As at (0.0000, 0.3081, 0.2500), As at (0.3333, 0.6667, 0.0000), Pb at (0.0000, 0.0000, 0.0000) and Pb at (0.0000, 0.3619, 0.7500).

The calculated volume is 451.9 Å³ per cell. The calculation puts the density at 8.8 Mg/m³. For the density of states at the Fermi level, the calculation gives 13.62 states/eV/cell.


Quick one: most stable of them? w


w | Computed, not measured: a relaxed structure of As2Pd8Pb at the PBE-GGA level of DFT.

The structure belongs to space group P-1 (No. 2); the cell edges are 4.882, 5.744 and 7.435 Å and the angles 108.69°, 107.00° and 98.38°. Symmetry generates all atoms from As at (0.222, 0.126, 0.317), Pd at (0.125, 0.643, 0.238), Pd at (0.210, 0.873, 0.957), Pd at (0.290, 0.032, 0.639), Pd at (0.309, 0.533, 0.610) and Pb at (0.500, 0.500, 0.000).

The calculated volume is 182.1 Å³ per cell. The calculation puts the density at 11.0 Mg/m³. For the density of states at the Fermi level, the calculation gives 3.68 states/eV/cell.


x | Computed, not measured: a relaxed structure of As2Pd8Pb at the PBE-GGA level of DFT.

The structure belongs to space group C2/m (No. 12); the cell edges are 7.584, 11.188 and 4.569 Å and the angles 90.00°, 106.40° and 90.00°. Symmetry generates all atoms from As at (0.000, 0.178, 0.000), Pd at (0.000, 0.255, 0.500), Pd at (0.117, 0.000, 0.322), Pd at (0.197, 0.371, 0.095) and Pb at (0.000, 0.500, 0.500).

The calculated volume is 371.9 Å³ per cell. The calculation puts the density at 10.8 Mg/m³. For the density of states at the Fermi level, the calculation gives 8.87 states/eV/cell.


Quick one: most stable of them? w


w | Computed, not measured: a relaxed structure of As2Pd3Pb at the PBE-GGA level of DFT.

The structure belongs to space group C2/m (No. 12); the cell edges are 17.399, 4.077 and 10.271 Å and the angles 90.00°, 109.81° and 90.00°. Symmetry generates all atoms from As at (0.041, 0.000, 0.272), As at (0.135, 0.000, 0.940), As at (0.197, 0.500, 0.627), Pd at (0.000, 0.000, 0.000), Pd at (0.049, 0.500, 0.812), Pd at (0.123, 0.000, 0.684), Pd at (0.183, 0.000, 0.459), Pd at (0.226, 0.500, 0.885), Pb at (0.000, 0.500, 0.500) and Pb at (0.152, 0.500, 0.191).

The calculated volume is 685.4 Å³ per cell. The calculation puts the density at 9.8 Mg/m³. For the density of states at the Fermi level, the calculation gives 12.41 states/eV/cell.


x | Computed, not measured: a relaxed structure of As2Pd3Pb at the PBE-GGA level of DFT.

The structure belongs to space group C2/m (No. 12); the cell edges are 16.363, 4.132 and 7.669 Å and the angles 90.00°, 114.74° and 90.00°. Symmetry generates all atoms from As at (0.011, 0.000, 0.171), As at (0.183, 0.500, 0.647), Pd at (0.036, 0.500, 0.360), Pd at (0.105, 0.000, 0.694), Pd at (0.175, 0.000, 0.399) and Pb at (0.170, 0.500, 0.081).

The calculated volume is 471.0 Å³ per cell. The calculation puts the density at 9.5 Mg/m³. For the density of states at the Fermi level, the calculation gives 13.37 states/eV/cell.


Quick one: most stable of them? w